Here is an optimized crystal structure of BaMn2Pb from the Alexandria database. Energies are from PBE.

Cell lengths 6.326, 6.240, 3.304 Å; angles 86.32, 76.73, 118.45 degrees
Sites, in units of the cell vectors:
Ba: 0.500 0.000 0.500
Mn: 0.000 0.000 0.000
Mn: 0.000 0.500 0.500
Pb: 0.500 0.500 0.000

SG ... C2/m, No. 12
D(E_F) ... 3.4 states/eV per cell
ΔE_f ... 0.7090 eV/atom


Here is an optimized crystal structure of LiZr2V from the Alexandria database. Energies are from PBE.

Cell lengths 2.907, 2.907, 11.107 Å; angles 82.48, 82.48, 60.00 degrees
Sites, in units of the cell vectors:
Li: 0.500 0.500 0.500
Zr: 0.082 0.082 0.755
Zr: 0.918 0.918 0.245
V: 0.000 0.000 0.000

E above lowest polymorph ... 0.3484 eV per atom
SG ... R-3m, No. 166
D(E_F) ... 5.2 states/eV per cell
ΔE_f ... 0.5229 eV/atom


Here is an optimized crystal structure of MgTaBe from the Alexandria database. Energies are from PBE.

Cell lengths 4.125, 4.125, 4.125 Å; angles 60.00, 60.00, 60.00 degrees
Sites, in units of the cell vectors:
Be: 0.750 0.750 0.750
Mg: 0.000 0.000 0.000
Ta: 0.500 0.500 0.500

E above lowest polymorph ... 0.4916 eV per atom
SG ... F-43m, No. 216
D(E_F) ... 2.2 states/eV per cell
ΔE_f ... 0.6502 eV/atom


Here is an optimized crystal structure of RbPuVI6 from the Alexandria database. Energies are from PBE.

Cell lengths 7.755, 7.755, 16.373 Å; angles 90.00, 90.00, 120.00 degrees
Sites, in units of the cell vectors:
Rb: 0.000 0.000 0.000
Rb: 0.000 0.000 0.500
Pu: 0.333 0.667 0.250
Pu: 0.667 0.333 0.750
V: 0.667 0.333 0.250
V: 0.333 0.667 0.750
I: 0.648 0.620 0.147
I: 0.973 0.352 0.147
I: 0.352 0.973 0.647
I: 0.027 0.648 0.853
I: 0.380 0.352 0.353
I: 0.973 0.620 0.353
I: 0.620 0.973 0.853
I: 0.648 0.027 0.353
I: 0.027 0.380 0.647
I: 0.380 0.027 0.147
I: 0.620 0.648 0.647
I: 0.352 0.380 0.853

SG ... P-31c, No. 163
Uncorrected formation energy ... -0.9381 eV per atom
D(E_F) ... 45.8 states/eV per cell


| no. | total magnetic moment (μB per cell) |
| --- | --- |
| 1 | 8.17 |
| 2 | 0.00 |
| 3 | 0.00 |
| 4 | 4.78 |